This record from Alexandria describes ReP2WO after structural relaxation. The functional is PBE+U.

Calculated values
Offset from the most stable computed form, meV per atom: 381
Total magnetic moment, μB/f.u.: 4.38

Cell: 4.889 4.889 3.743 Å, 90.00 90.00 90.00°
Space group P4/mmm (No. 123)
Symmetry-distinct sites (fractional):
Re 0.000 0.000 0.000 (multiplicity 1)
P 0.000 0.500 0.500 (multiplicity 2)
W 0.500 0.500 0.500 (multiplicity 1)
O 0.500 0.500 0.000 (multiplicity 1)